{"formula": "Dy5HoTh3", "functional": "PBE-GGA", "state": "relaxed", "ef_ev_per_fu": 3.25, "total_energy_ev_per_atom": -5.18, "magnetic_moment_mub_per_atom": 0.000, "cell": [[9.135, -3.191, 0.000], [9.135, 3.191, 0.000], [-5.027, 0.000, 10.479]], "species": ["Dy", "Dy", "Dy", "Dy", "Dy", "Dy", "Dy", "Dy", "Dy", "Dy", "Ho", "Ho", "Th", "Th", "Th", "Th", "Th", "Th"], "fractional_positions": [[0.009, 0.661, 0.279], [0.113, 0.887, 0.750], [0.164, 0.488, 0.637], [0.339, 0.991, 0.221], [0.488, 0.164, 0.137], [0.512, 0.836, 0.863], [0.661, 0.009, 0.779], [0.836, 0.512, 0.363], [0.887, 0.113, 0.250], [0.991, 0.339, 0.721], [0.361, 0.639, 0.250], [0.639, 0.361, 0.750], [0.030, 0.651, 0.989], [0.349, 0.970, 0.511], [0.500, 0.500, 0.000], [0.500, 0.500, 0.500], [0.651, 0.030, 0.489], [0.970, 0.349, 0.011]]}

{"formula": "Ba2Al4ZnGe3", "functional": "PBE-GGA", "state": "relaxed", "ef_ev_per_fu": -3.04, "total_energy_ev_per_atom": -3.70, "magnetic_moment_mub_per_atom": 0.000, "cell": [[4.694, 0.000, 0.000], [0.000, 4.694, 0.000], [0.000, 0.000, 10.515]], "species": ["Ba", "Ba", "Al", "Al", "Al", "Al", "Zn", "Ge", "Ge", "Ge"], "fractional_positions": [[0.000, 0.500, 0.243], [0.500, 0.000, 0.757], [0.000, 0.000, 0.500], [0.000, 0.500, 0.880], [0.500, 0.000, 0.120], [0.500, 0.500, 0.500], [0.500, 0.500, 0.000], [0.000, 0.000, 0.000], [0.000, 0.500, 0.624], [0.500, 0.000, 0.376]]}

{"formula": "Cs5Bi2I", "functional": "PBE-GGA", "state": "relaxed", "formation_energy_uncorrected_ev_per_atom": -0.648, "total_energy_ev_per_atom": -2.35, "magnetic_moment_mub_per_atom": 0.000, "cell": [[-5.113, 5.113, 8.722], [5.113, -5.113, 8.722], [5.113, 5.113, -8.722]], "species": ["Cs", "Cs", "Cs", "Cs", "Cs", "Cs", "Cs", "Cs", "Cs", "Cs", "Bi", "Bi", "Bi", "Bi", "I", "I"], "fractional_positions": [[0.000, 0.000, 0.000], [0.037, 0.537, 0.854], [0.182, 0.037, 0.500], [0.318, 0.818, 0.854], [0.463, 0.318, 0.500], [0.500, 0.500, 0.000], [0.537, 0.682, 0.500], [0.682, 0.182, 0.146], [0.818, 0.963, 0.500], [0.963, 0.463, 0.146], [0.109, 0.391, 0.500], [0.391, 0.891, 0.281], [0.609, 0.109, 0.719], [0.891, 0.609, 0.500], [0.250, 0.250, 0.000], [0.750, 0.750, 0.000]]}

{"formula": "TcWSeN2", "functional": "PBE-GGA", "state": "relaxed", "formation_energy_uncorrected_ev_per_atom": 1.236, "total_energy_ev_per_atom": -7.45, "magnetic_moment_mub_per_atom": 0.624, "cell": [[3.836, 0.000, 0.000], [0.000, 3.836, 0.000], [0.000, 0.000, 5.344]], "species": ["Tc", "W", "Se", "N", "N"], "fractional_positions": [[0.000, 0.000, 0.000], [0.500, 0.500, 0.500], [0.000, 0.000, 0.500], [0.000, 0.500, 0.000], [0.500, 0.000, 0.000]]}